Here is an optimized crystal structure of KVH4O7 from the Alexandria database. Energies are from PBE+U.

Computed properties:
As for the crystal system: triclinic. For the total energy, the calculation gives -5.43 eV per atom. The polymorph energy (0 for the lowest one) is 88 meV/atom.

a = 6.1230 Å, b = 7.7270 Å, c = 8.3471 Å
α = 73.51°, β = 80.48°, γ = 66.91°
Site moments in Bohr magnetons follow the coordinates.
Atoms (fractional coordinates):
1 O 0.7799 0.2126 0.4667  0.01
2 O 0.4426 0.3175 0.7339  -0.01
3 O 0.6168 0.3102 0.8390  0.01
4 O 0.0528 0.2950 0.9321  0.00
5 O 0.4148 0.8938 0.0957  0.41
6 O 0.6680 0.5393 0.2272  0.00
7 O 0.6628 0.9149 0.7391  -0.11
8 O 0.1788 0.1548 0.5912  0.01
9 O 0.0509 0.3130 0.1004  0.01
10 O 0.1859 0.6107 0.8846  0.00
11 O 0.5486 0.9443 0.4206  0.00
12 O 0.5003 0.0295 0.0953  0.38
13 O 0.4235 0.3617 0.1663  0.00
14 O 0.2327 0.3218 0.4740  -0.01
15 H 0.5637 0.9857 0.2935  0.00
16 H 0.3819 0.9544 0.4438  0.00
17 H 0.8169 0.4873 0.1560  0.00
18 H 0.7347 0.3445 0.3883  0.00
19 H 0.3284 0.3361 0.2759  0.00
20 H 0.5795 0.6856 0.1817  0.00
21 H 0.5142 0.4430 0.1782  0.00
22 H 0.9352 0.1824 0.5154  0.00
23 V 0.5186 0.1147 0.5995  1.08
24 V 0.3001 0.3725 0.9506  0.01
25 K 0.8457 0.5666 0.6527  0.00
26 K 0.9939 0.9647 0.9337  0.00